Entry 1:
VASP calculation (GGA-PBE) on a geometry-optimized CrHg2As structure.

```
data_CrHg2As
_space_group_name_H-M_alt 'C m m m'
_space_group_IT_number 65
_space_group_name_Hall '-C 2 2'
_cell_length_a 5.758
_cell_length_b 5.761
_cell_length_c 5.233
_cell_angle_alpha 90.00
_cell_angle_beta 90.00
_cell_angle_gamma 90.00
loop_
_atom_site_label
_atom_site_fract_x
_atom_site_fract_y
_atom_site_fract_z
Cr1 0.000 0.000 0.000
Hg1 0.247 0.000 0.500
As1 0.000 0.500 0.000
```

Computed properties:
* total moment: 3.74 μB per formula unit
* energy of formation from the pure elements: 1.25 eV/f.u.
* final energy: -3.41 eV/atom
* DOS(E_F): 3.7 states/eV/cell
* mass density: 10.1 g/cm³


Entry 2:
VASP calculation (GGA-PBE) on a geometry-optimized NaCa2Au structure.

```
data_NaCa2Au
_space_group_name_H-M_alt 'P 4/m m m'
_space_group_IT_number 123
_space_group_name_Hall '-P 4 2'
_cell_length_a 5.282
_cell_length_b 5.282
_cell_length_c 4.059
_cell_angle_alpha 90.00
_cell_angle_beta 90.00
_cell_angle_gamma 90.00
loop_
_atom_site_label
_atom_site_fract_x
_atom_site_fract_y
_atom_site_fract_z
Na1 0.000 0.000 0.000
Ca1 0.000 0.500 0.500
Au1 0.500 0.500 0.000
```

Computed properties:
* total moment: 0.00 μB per formula unit
* energy of formation from the pure elements: -1.20 eV/f.u.
* final energy: -2.45 eV/atom
* DOS(E_F): 2.1 states/eV/cell
* mass density: 4.4 g/cm³
* energy above the lowest structure with this stoichiometry: 106 meV per atom